# PBE-GGA Cd5Ag4Hg, relaxed
data_Cd5Ag4Hg
_symmetry_space_group_name_H-M 'P 4/m m m'
_symmetry_Int_Tables_number 123
_symmetry_space_group_name_Hall '-P 4 2'
_cell_length_a 3.4084
_cell_length_b 3.4084
_cell_length_c 17.3085
_cell_angle_alpha 90.00
_cell_angle_beta 90.00
_cell_angle_gamma 90.00
loop_
_atom_site_label
_atom_site_type_symbol
_atom_site_fract_x
_atom_site_fract_y
_atom_site_fract_z
_atom_site_occupancy
Cd1 Cd 0.0000 0.0000 0.0000 1
Cd2 Cd 0.0000 0.0000 0.1916 1
Cd3 Cd 0.0000 0.0000 0.3854 1
Ag1 Ag 0.5000 0.5000 0.0961 1
Ag2 Ag 0.5000 0.5000 0.2878 1
Hg1 Hg 0.5000 0.5000 0.5000 1
# size of the total moment	0.00	μB/f.u.
# uncorrected energy	-1.66	eV/atom